# PrTm2Cu

A relaxed PrTm2Cu crystal (PBE, the Alexandria database).

Computed properties:
Final energy ... -17.76 eV for the cell shown
Mass density ... 7996 kg/m³
Magnetic moment ... 0.00 μB/f.u.

```
data_PrTm2Cu
_chemical_formula_sum 'Pr1 Tm2 Cu1'
_symmetry_space_group_name_H-M 'P 1'
_symmetry_Int_Tables_number 1
_symmetry_space_group_name_Hall 'P 1'
_cell_length_a 9.8732
_cell_length_b 9.8732
_cell_length_c 9.8732
_cell_angle_alpha 21.44
_cell_angle_beta 21.44
_cell_angle_gamma 21.44
loop_
_atom_site_label
_atom_site_fract_x
_atom_site_fract_y
_atom_site_fract_z
Pr1 0.0000 0.0000 0.0000
Tm1 0.5623 0.5623 0.5623
Tm2 0.7674 0.7674 0.7674
Cu1 0.1642 0.1642 0.1642
```


# PrTmCu2

A relaxed PrTmCu2 crystal (PBE, the Alexandria database).

Computed properties:
Final energy ... -18.28 eV for the cell shown
Mass density ... 8363 kg/m³
Magnetic moment ... 0.00 μB/f.u.

```
data_PrTmCu2
_chemical_formula_sum 'Pr1 Tm1 Cu2'
_symmetry_space_group_name_H-M 'P 1'
_symmetry_Int_Tables_number 1
_symmetry_space_group_name_Hall 'P 1'
_cell_length_a 3.4887
_cell_length_b 3.4887
_cell_length_c 7.1284
_cell_angle_alpha 90.00
_cell_angle_beta 90.00
_cell_angle_gamma 90.00
loop_
_atom_site_label
_atom_site_fract_x
_atom_site_fract_y
_atom_site_fract_z
Pr1 0.0000 0.0000 0.0000
Tm1 0.0000 0.0000 0.5000
Cu1 0.5000 0.5000 0.2805
Cu2 0.5000 0.5000 0.7195
```


# PrTm2Cu

A relaxed PrTm2Cu crystal (PBE, the Alexandria database).

Computed properties:
Final energy ... -18.28 eV for the cell shown
Mass density ... 8506 kg/m³
Magnetic moment ... 0.00 μB/f.u.

```
data_PrTm2Cu
_chemical_formula_sum 'Pr1 Tm2 Cu1'
_symmetry_space_group_name_H-M 'P 1'
_symmetry_Int_Tables_number 1
_symmetry_space_group_name_Hall 'P 1'
_cell_length_a 3.4839
_cell_length_b 3.4839
_cell_length_c 8.7226
_cell_angle_alpha 90.00
_cell_angle_beta 90.00
_cell_angle_gamma 90.00
loop_
_atom_site_label
_atom_site_fract_x
_atom_site_fract_y
_atom_site_fract_z
Pr1 0.0000 0.0000 0.0000
Tm1 0.5000 0.5000 0.3106
Tm2 0.5000 0.5000 0.6894
Cu1 0.0000 0.0000 0.5000
```


# Pr2VCu

A relaxed Pr2VCu crystal (PBE, the Alexandria database).

Computed properties:
Final energy ... -19.91 eV for the cell shown
Mass density ... 6388 kg/m³
Magnetic moment ... 3.19 μB/f.u.

```
data_Pr2VCu
_chemical_formula_sum 'Pr2 V1 Cu1'
_symmetry_space_group_name_H-M 'P 1'
_symmetry_Int_Tables_number 1
_symmetry_space_group_name_Hall 'P 1'
_cell_length_a 10.6561
_cell_length_b 10.6561
_cell_length_c 10.6561
_cell_angle_alpha 18.19
_cell_angle_beta 18.19
_cell_angle_gamma 18.19
loop_
_atom_site_label
_atom_site_fract_x
_atom_site_fract_y
_atom_site_fract_z
Pr1 0.0927 0.0927 0.0927
Pr2 0.9073 0.9073 0.9073
V1 0.0000 0.0000 0.0000
Cu1 0.5000 0.5000 0.5000
```


# PrY2Cu2

A relaxed PrY2Cu2 crystal (PBE, the Alexandria database).

Computed properties:
Final energy ... -52.87 eV for the cell shown
Mass density ... 5806 kg/m³
Magnetic moment ... 0.00 μB/f.u.

```
data_PrY2Cu2
_chemical_formula_sum 'Pr2 Y4 Cu4'
_symmetry_space_group_name_H-M 'P 1'
_symmetry_Int_Tables_number 1
_symmetry_space_group_name_Hall 'P 1'
_cell_length_a 5.0461
_cell_length_b 4.6988
_cell_length_c 10.8297
_cell_angle_alpha 90.00
_cell_angle_beta 96.72
_cell_angle_gamma 90.00
loop_
_atom_site_label
_atom_site_fract_x
_atom_site_fract_y
_atom_site_fract_z
Pr1 0.1907 0.2500 0.2425
Pr2 0.8093 0.7500 0.7575
Y1 0.2489 0.7500 0.4953
Y2 0.3453 0.2500 0.8857
Y3 0.6547 0.7500 0.1143
Y4 0.7511 0.2500 0.5047
Cu1 0.1242 0.7500 0.0054
Cu2 0.2846 0.2500 0.6330
Cu3 0.7154 0.7500 0.3670
Cu4 0.8758 0.2500 0.9946
```


# PrY3Cu2

A relaxed PrY3Cu2 crystal (PBE, the Alexandria database).

Computed properties:
Final energy ... -33.27 eV for the cell shown
Mass density ... 5831 kg/m³
Magnetic moment ... 0.00 μB/f.u.

```
data_PrY3Cu2
_chemical_formula_sum 'Pr1 Y3 Cu2'
_symmetry_space_group_name_H-M 'P 1'
_symmetry_Int_Tables_number 1
_symmetry_space_group_name_Hall 'P 1'
_cell_length_a 3.5136
_cell_length_b 3.5136
_cell_length_c 12.3341
_cell_angle_alpha 90.00
_cell_angle_beta 90.00
_cell_angle_gamma 90.00
loop_
_atom_site_label
_atom_site_fract_x
_atom_site_fract_y
_atom_site_fract_z
Pr1 0.0000 0.0000 0.0000
Y1 0.5000 0.5000 0.2224
Y2 0.5000 0.5000 0.5000
Y3 0.5000 0.5000 0.7776
Cu1 0.0000 0.0000 0.3576
Cu2 0.0000 0.0000 0.6424
```


Question: Which value of magnetic moment does entry 6 give?
Answer: 0.00 μB/f.u.


Question: Number 5 is which compound?
Answer: PrY2Cu2


Question: Number 6 is which compound?
Answer: PrY3Cu2


Question: Which formula does entry 6 have?
Answer: PrY3Cu2